! NaCoRu | Alexandria | PBE | optimized geometry; values from VASP
&SYSTEM
  ibrav = 0, nat = 12, ntyp = 3
/
ATOMIC_SPECIES
Na 22.99 Na.upf
Co 58.93 Co.upf
Ru 101.07 Ru.upf
ATOMIC_POSITIONS crystal
Na 0.000 0.000 0.000
Na 0.000 0.000 0.500
Na 0.500 0.500 0.000
Na 0.500 0.500 0.500
Co 0.211 0.500 0.364
Co 0.289 0.000 0.636
Co 0.711 0.000 0.364
Co 0.789 0.500 0.636
Ru 0.209 0.500 0.847
Ru 0.291 0.000 0.153
Ru 0.709 0.000 0.847
Ru 0.791 0.500 0.153
CELL_PARAMETERS angstrom
11.069 0.000 0.000
0.000 3.664 0.000
-1.248 0.000 5.045
! Energy relative to the lowest polymorph listed for this composition (meV/atom): 149.0
! Calculated formation energy (meV per atom): 545
! Total energy (eV/atom): -5.36
! Symmetry: No. 12

***

! UBeFe2 | Alexandria | PBE | optimized geometry; values from VASP
&SYSTEM
  ibrav = 0, nat = 4, ntyp = 3
/
ATOMIC_SPECIES
U 238.03 U.upf
Be 9.01 Be.upf
Fe 55.84 Fe.upf
ATOMIC_POSITIONS crystal
U 0.000 0.000 0.000
Be 0.500 0.500 0.000
Fe 0.000 0.500 0.500
Fe 0.500 0.000 0.500
CELL_PARAMETERS angstrom
3.901 0.000 0.000
0.000 3.901 0.000
0.000 0.000 3.355
! Energy relative to the lowest polymorph listed for this composition (meV/atom): 0.0
! Calculated formation energy (meV per atom): -71
! Total energy (eV/atom): -8.06
! Symmetry: No. 123

***

! Nb2VS5 | Alexandria | PBE | optimized geometry; values from VASP
&SYSTEM
  ibrav = 0, nat = 16, ntyp = 3
/
ATOMIC_SPECIES
Nb 92.91 Nb.upf
V 50.94 V.upf
S 32.06 S.upf
ATOMIC_POSITIONS crystal
Nb 0.140 0.860 0.603
Nb 0.140 0.860 0.897
Nb 0.860 0.140 0.103
Nb 0.860 0.140 0.397
V 0.231 0.769 0.250
V 0.769 0.231 0.750
S 0.063 0.937 0.118
S 0.063 0.937 0.382
S 0.300 0.700 0.750
S 0.326 0.674 0.056
S 0.326 0.674 0.444
S 0.674 0.326 0.556
S 0.674 0.326 0.944
S 0.700 0.300 0.250
S 0.937 0.063 0.618
S 0.937 0.063 0.882
CELL_PARAMETERS angstrom
2.383 -5.790 0.000
2.383 5.790 0.000
0.000 0.000 10.952
! Energy relative to the lowest polymorph listed for this composition (meV/atom): 0.0
! Formation energy (no corrections) (eV per formula unit): -6.163
! Total energy (eV/atom): -7.01
! Symmetry: No. 63

***

! AcTbCo | Alexandria | PBE | optimized geometry; values from VASP
&SYSTEM
  ibrav = 0, nat = 12, ntyp = 3
/
ATOMIC_SPECIES
Ac 227.00 Ac.upf
Tb 158.93 Tb.upf
Co 58.93 Co.upf
ATOMIC_POSITIONS crystal
Ac 0.000 0.000 0.000
Ac 0.000 0.500 0.500
Ac 0.500 0.000 0.500
Ac 0.500 0.500 0.000
Tb 0.000 0.000 0.500
Tb 0.000 0.500 0.000
Tb 0.500 0.000 0.000
Tb 0.500 0.500 0.500
Co 0.250 0.250 0.250
Co 0.250 0.750 0.750
Co 0.750 0.250 0.750
Co 0.750 0.750 0.250
CELL_PARAMETERS angstrom
6.960 0.000 0.000
0.000 6.960 0.000
0.000 0.000 6.960
! Energy relative to the lowest polymorph listed for this composition (meV/atom): 158.6
! Calculated formation energy (meV per atom): 87
! Total energy (eV/atom): -5.19
! Symmetry: No. 216

***

! Co2Pd7Pt | Alexandria | PBE | optimized geometry; values from VASP
&SYSTEM
  ibrav = 0, nat = 10, ntyp = 3
/
ATOMIC_SPECIES
Co 58.93 Co.upf
Pd 106.42 Pd.upf
Pt 195.08 Pt.upf
ATOMIC_POSITIONS crystal
Co 0.193 0.807 0.000
Co 0.807 0.193 0.000
Pd 0.000 0.000 0.000
Pd 0.197 0.425 0.000
Pd 0.287 0.713 0.500
Pd 0.425 0.197 0.000
Pd 0.575 0.803 0.000
Pd 0.713 0.287 0.500
Pd 0.803 0.575 0.000
Pt 0.500 0.500 0.500
CELL_PARAMETERS angstrom
3.596 -6.283 0.000
3.596 6.283 0.000
0.000 0.000 4.041
! Calculated formation energy (meV per atom): 542
! Total energy (eV/atom): -5.12
! Symmetry: No. 65

***

! YReNi3 | Alexandria | PBE | optimized geometry; values from VASP
&SYSTEM
  ibrav = 0, nat = 5, ntyp = 3
/
ATOMIC_SPECIES
Y 88.91 Y.upf
Re 186.21 Re.upf
Ni 58.69 Ni.upf
ATOMIC_POSITIONS crystal
Y 0.000 0.000 0.000
Re 0.500 0.500 0.500
Ni 0.000 0.000 0.500
Ni 0.000 0.500 0.000
Ni 0.500 0.000 0.000
CELL_PARAMETERS angstrom
4.543 0.000 0.000
0.000 4.543 0.000
0.000 0.000 4.543
! Energy relative to the lowest polymorph listed for this composition (meV/atom): 1352.3
! Calculated formation energy (meV per atom): 1876
! Total energy (eV/atom): -5.37
! Symmetry: No. 221